# 1
DFT (PBE) results for a geometry-optimized KDyZn structure.

Its space group is F-43m (216). Its relative energy among the computed polymorphs is 0 meV per atom.

Geometry as POSCAR:
```
KDyZn
1.0
0.0000 3.7119 3.7119
3.7119 0.0000 3.7119
3.7119 3.7119 0.0000
K Zn Dy
1 1 1
Direct
0.7500 0.7500 0.7500
0.0000 0.0000 0.0000
0.2500 0.2500 0.2500
```

# 2
DFT (PBE) results for a geometry-optimized KDyZr structure.

Its space group is F-43m (216). Its relative energy among the computed polymorphs is 0 meV per atom.

Geometry as POSCAR:
```
KDyZr
1.0
0.0000 4.0096 4.0096
4.0096 0.0000 4.0096
4.0096 4.0096 0.0000
Zr K Dy
1 1 1
Direct
0.7500 0.7500 0.7500
0.2500 0.2500 0.2500
0.0000 0.0000 0.0000
```

# 3
DFT (PBE) results for a geometry-optimized LaDy structure.

Its space group is Fm-3m (225). The formation energy is 0.643 eV/atom. Its relative energy among the computed polymorphs is 592 meV per atom.

Geometry as POSCAR:
```
LaDy
1.0
0.0000 3.2890 3.2890
3.2890 0.0000 3.2890
3.2890 3.2890 0.0000
La Dy
1 1
Direct
0.5000 0.5000 0.5000
0.0000 0.0000 0.0000
```

# 4
DFT (PBE) results for a geometry-optimized LaDy structure.

Its space group is F-43m (216). The formation energy is 1.619 eV/atom. Its relative energy among the computed polymorphs is 1568 meV per atom.

Geometry as POSCAR:
```
LaDy
1.0
0.0000 3.3577 3.3577
3.3577 0.0000 3.3577
3.3577 3.3577 0.0000
Dy La
1 1
Direct
0.0000 0.0000 0.0000
0.2500 0.2500 0.2500
```

# 5
DFT (PBE) results for a geometry-optimized La2Dy structure.

Its space group is Fd-3m (227). The formation energy is 0.240 eV/atom.

Geometry as POSCAR:
```
La2Dy
1.0
0.0000 4.7456 4.7456
4.7456 0.0000 4.7456
4.7456 4.7456 0.0000
La Dy
4 2
Direct
0.6250 0.6250 0.1250
0.6250 0.6250 0.6250
0.1250 0.6250 0.6250
0.6250 0.1250 0.6250
0.2500 0.2500 0.2500
0.0000 0.0000 0.0000
```

# 6
DFT (PBE) results for a geometry-optimized LaDy structure.

Its space group is P-6m2 (187). The formation energy is 0.051 eV/atom. Its relative energy among the computed polymorphs is 0 meV per atom.

Geometry as POSCAR:
```
LaDy
1.0
-3.3943 -0.3671 -1.3184
2.4374 -2.6935 -0.4456
-1.7154 -2.3931 5.0826
La Dy
1 1
Direct
0.3333 0.6667 0.2500
0.6667 0.3333 0.7500
```

# 7
DFT (PBE) results for a geometry-optimized Li3LaDy2Pb3 structure.

Its space group is P-6m2 (187).

Geometry as POSCAR:
```
Li3LaDy2Pb3
1.0
4.7764 0.0000 0.0000
-2.3882 4.1364 0.0000
0.0000 0.0000 11.4148
Li Dy Pb La
3 2 3 1
Direct
0.6667 0.3333 0.2034
0.6667 0.3333 0.7966
0.3333 0.6667 0.5000
0.0000 0.0000 0.3415
0.0000 0.0000 0.6585
0.6667 0.3333 0.5000
0.3333 0.6667 0.1855
0.3333 0.6667 0.8145
0.0000 0.0000 0.0000
```

# 8
DFT (PBE) results for a geometry-optimized LaDyMg6 structure.

Its space group is Pmm2 (25).

Geometry as POSCAR:
```
LaDyMg6
1.0
5.2285 0.0000 0.0000
0.0000 7.4110 0.0000
0.0000 0.0000 5.2286
Mg La Dy
6 1 1
Direct
0.5000 0.2414 0.7544
0.5000 0.7586 0.7544
0.0000 0.7586 0.2454
0.5000 0.0000 0.2535
0.0000 0.5000 0.7476
0.0000 0.2414 0.2454
0.5000 0.5000 0.2535
0.0000 0.0000 0.7458
```

# 9
DFT (PBE) results for a geometry-optimized La2Dy2Mg structure.

Its space group is P4/mbm (127).

Geometry as POSCAR:
```
La2Dy2Mg
1.0
-6.8268 2.5160 -4.7404
-4.6142 -6.6687 3.1056
-1.3938 2.5228 3.3463
Dy Mg La
4 2 4
Direct
0.6452 0.1452 0.0000
0.3548 0.8548 0.0000
0.1452 0.3548 0.0000
0.8548 0.6452 0.0000
0.0000 0.0000 0.0000
0.5000 0.5000 0.0000
0.8450 0.3450 0.5000
0.1550 0.6550 0.5000
0.6550 0.8450 0.5000
0.3450 0.1550 0.5000
```

# 10
DFT (PBE) results for a geometry-optimized LaDyMg6 structure.

Its space group is P4/mmm (123).

Geometry as POSCAR:
```
LaDyMg6
1.0
5.2352 0.0000 0.0000
0.0000 5.2352 0.0000
0.0000 0.0000 7.4182
Mg La Dy
6 1 1
Direct
0.5000 0.0000 0.2413
0.0000 0.5000 0.7587
0.0000 0.0000 0.5000
0.5000 0.0000 0.7587
0.5000 0.5000 0.0000
0.0000 0.5000 0.2413
0.5000 0.5000 0.5000
0.0000 0.0000 0.0000
```

# 11
DFT (PBE) results for a geometry-optimized LaDyMg structure.

Its space group is F-43m (216). Its relative energy among the computed polymorphs is 0 meV per atom.

Geometry as POSCAR:
```
LaDyMg
1.0
0.0000 3.7738 3.7738
3.7738 0.0000 3.7738
3.7738 3.7738 0.0000
Dy La Mg
1 1 1
Direct
0.2500 0.2500 0.2500
0.7500 0.7500 0.7500
0.0000 0.0000 0.0000
```

# 12
DFT (PBE) results for a geometry-optimized LaDy2Mg3Pt3 structure.

Its space group is Amm2 (38).

Geometry as POSCAR:
```
LaDy2Mg3Pt3
1.0
4.0975 0.0000 0.0000
0.0000 6.4143 3.7430
0.0000 -6.4143 3.7430
Mg Dy Pt La
3 2 3 1
Direct
0.5000 0.7580 0.0049
0.5000 0.0049 0.7580
0.5000 0.2385 0.2385
0.0000 0.4086 0.0004
0.0000 0.0004 0.4086
0.5000 0.3291 0.6694
0.5000 0.6694 0.3291
0.0000 0.0078 0.0078
0.0000 0.5833 0.5833
```

# 13
DFT (PBE) results for a geometry-optimized La2DyMg3Tl3 structure.

Its space group is Amm2 (38).

Geometry as POSCAR:
```
La2DyMg3Tl3
1.0
4.7777 0.0000 0.0000
0.0000 6.6269 3.8986
0.0000 -6.6269 3.8986
La Dy Mg Tl
2 1 3 3
Direct
0.0000 0.0016 0.4304
0.0000 0.4304 0.0016
0.0000 0.5758 0.5758
0.5000 0.9999 0.7573
0.5000 0.2409 0.2409
0.5000 0.7573 0.9999
0.5000 0.6626 0.3415
0.0000 0.9901 0.9901
0.5000 0.3415 0.6626
```

# 14
DFT (PBE) results for a geometry-optimized LaDyMo structure.

Its space group is F-43m (216). The formation energy is 1.162 eV/atom.

Geometry as POSCAR:
```
LaDyMo
1.0
0.0000 3.4874 3.4874
3.4874 0.0000 3.4874
3.4874 3.4874 0.0000
Dy Mo La
1 1 1
Direct
0.0000 0.0000 0.0000
0.7500 0.7500 0.7500
0.2500 0.2500 0.2500
```

# 15
DFT (PBE) results for a geometry-optimized LaDyNb structure.

Its space group is F-43m (216). The formation energy is 0.759 eV/atom.

Geometry as POSCAR:
```
LaDyNb
1.0
4.6083 -2.1442 0.1598
0.4477 -5.0141 0.7195
1.5479 -2.9876 -3.8128
La Dy Nb
1 1 1
Direct
0.5000 0.5000 0.5000
0.0000 0.0000 0.0000
0.7500 0.7500 0.7500
```

# 16
DFT (PBE) results for a geometry-optimized La2Nd3Dy4 structure.

Its space group is P-6 (174). The formation energy is 0.052 eV/atom.

Geometry as POSCAR:
```
La2Nd3Dy4
1.0
-4.2113 -7.8023 4.4601
1.4354 -0.0759 -9.8202
3.2252 -1.4649 0.4828
Nd Dy La
3 4 2
Direct
0.9901 0.3534 0.5000
0.6466 0.6368 0.5000
0.3632 0.0099 0.5000
0.3108 0.3070 0.0000
0.6667 0.3333 0.0000
0.9962 0.6892 0.0000
0.6930 0.0038 0.0000
0.3333 0.6667 0.0000
0.0000 0.0000 0.5000
```

# 17
DFT (PBE) results for a geometry-optimized La2DyNi9 structure.

Its space group is R-3m (166). The formation energy is -0.355 eV/atom.

Geometry as POSCAR:
```
La2DyNi9
1.0
3.8324 -7.9128 0.7670
7.2104 -4.5644 2.2506
3.6012 -6.0104 5.3660
Ni Dy La
9 1 2
Direct
0.4213 0.4213 0.9197
0.5000 0.5000 0.5000
0.6673 0.6673 0.6673
0.3327 0.3327 0.3327
0.5787 0.5787 0.0803
0.9197 0.4213 0.4213
0.5787 0.0803 0.5787
0.0803 0.5787 0.5787
0.4213 0.9197 0.4213
0.0000 0.0000 0.0000
0.1380 0.1380 0.1380
0.8620 0.8620 0.8620
```

# 18
DFT (PBE) results for a geometry-optimized LaDy2Ni9 structure.

Its space group is R-3m (166). The formation energy is -0.395 eV/atom.

Geometry as POSCAR:
```
LaDy2Ni9
1.0
2.4992 1.4429 8.1118
-2.4992 1.4429 8.1118
0.0000 -2.8858 8.1118
Ni La Dy
9 1 2
Direct
0.5000 0.5000 0.5000
0.6672 0.6672 0.6672
0.5842 0.5842 0.0825
0.9175 0.4158 0.4158
0.3328 0.3328 0.3328
0.4158 0.4158 0.9175
0.5842 0.0825 0.5842
0.0825 0.5842 0.5842
0.4158 0.9175 0.4158
0.0000 0.0000 0.0000
0.8600 0.8600 0.8600
0.1400 0.1400 0.1400
```

# 19
DFT (PBE) results for a geometry-optimized LaDyTlNi2 structure.

Its space group is Amm2 (38).

Geometry as POSCAR:
```
LaDyTlNi2
1.0
-0.1649 1.8952 3.2304
-4.4102 -5.4905 2.9960
-0.6805 -6.5900 3.8314
Dy Tl Ni La
1 1 2 1
Direct
0.0000 0.3606 0.3606
0.5000 0.9938 0.9938
0.5000 0.2053 0.2053
0.5000 0.8021 0.8021
0.0000 0.6382 0.6382
```

# 20
DFT (PBE) results for a geometry-optimized LaDyNp structure.

Its space group is F-43m (216). The formation energy is 1.054 eV/atom. Its relative energy among the computed polymorphs is 0 meV per atom.

Geometry as POSCAR:
```
LaDyNp
1.0
0.0000 3.6279 3.6279
3.6279 0.0000 3.6279
3.6279 3.6279 0.0000
La Dy Np
1 1 1
Direct
0.0000 0.0000 0.0000
0.2500 0.2500 0.2500
0.7500 0.7500 0.7500
```

# 21
DFT (PBE) results for a geometry-optimized La2DyO3 structure.

Its space group is P-3m1 (164).

Geometry as POSCAR:
```
La2DyO3
1.0
-2.5703 -2.2329 -0.8914
0.7629 0.5410 3.3930
-5.8341 6.6130 0.2574
O Dy La
3 1 2
Direct
0.0000 0.0000 0.0000
0.6667 0.3333 0.3646
0.3333 0.6667 0.6354
0.0000 0.0000 0.5000
0.3333 0.6667 0.1702
0.6667 0.3333 0.8298
```

# 22
DFT (PBE) results for a geometry-optimized La2DyO4 structure.

Its space group is Fd-3m (227).

Geometry as POSCAR:
```
La2DyO4
1.0
4.9913 -4.9922 0.0000
-4.9913 0.0000 -4.9922
4.9913 4.9922 0.0000
Dy La O
2 4 8
Direct
0.7500 0.5000 0.2500
0.0000 0.0000 0.0000
0.3750 0.2500 0.6250
0.8750 0.2500 0.6250
0.3750 0.7500 0.1250
0.3750 0.7500 0.6250
0.1248 0.2496 0.8753
0.6257 0.7504 0.8753
0.1247 0.2496 0.3743
0.1247 0.7504 0.8752
0.1243 0.7496 0.3747
0.6253 0.2504 0.8757
0.6253 0.7496 0.3748
0.6252 0.2504 0.3747
```

# 23
DFT (PBE) results for a geometry-optimized LaDyO4 structure.

Its space group is Cm (8).

Geometry as POSCAR:
```
LaDyO4
1.0
3.3497 -1.9554 0.0000
3.3497 1.9554 0.0000
-0.8738 0.0000 6.3447
O La Dy
4 1 1
Direct
0.0775 0.0775 0.4446
0.6497 0.6497 0.8440
0.3493 0.3493 0.1255
0.9158 0.9158 0.5844
0.7002 0.7002 0.2316
0.3076 0.3076 0.7699
```

# 24
DFT (PBE) results for a geometry-optimized LaDySi2Os structure.

Its space group is C2/m (12).

Geometry as POSCAR:
```
LaDySi2Os
1.0
5.4315 -2.1378 0.0000
5.4315 2.1378 0.0000
-4.7639 0.0000 8.9704
Si Os La Dy
4 2 2 2
Direct
0.4902 0.4902 0.8647
0.6492 0.6492 0.5626
0.5098 0.5098 0.1353
0.3508 0.3508 0.4374
0.7322 0.7322 0.3776
0.2678 0.2678 0.6224
0.8050 0.8050 0.8994
0.1950 0.1950 0.1006
0.0009 0.0009 0.3282
0.9991 0.9991 0.6718
```

# 25
DFT (PBE) results for a geometry-optimized LaDySi4Os2 structure.

Its space group is Pm (6).

Geometry as POSCAR:
```
LaDySi4Os2
1.0
4.4794 0.0000 0.0000
0.0000 4.1393 0.0000
-1.7451 0.0000 8.0415
Si Os Dy La
4 2 1 1
Direct
0.6652 0.0000 0.9919
0.3327 0.5000 0.0014
0.0380 0.0000 0.5923
0.9616 0.5000 0.4108
0.1157 0.0000 0.8838
0.8816 0.5000 0.1119
0.5936 0.5000 0.7063
0.4117 0.0000 0.3016
```

# 26
DFT (PBE) results for a geometry-optimized LaDy2P3 structure.

Its space group is P-3m1 (164).

Geometry as POSCAR:
```
LaDy2P3
1.0
-3.1131 -2.5266 0.8266
3.8222 -1.0628 1.0097
-1.1557 4.3556 8.9602
P La Dy
3 1 2
Direct
0.0000 0.0000 0.0000
0.6667 0.3333 0.6793
0.3333 0.6667 0.3207
0.0000 0.0000 0.5000
0.6667 0.3333 0.1600
0.3333 0.6667 0.8400
```

# 27
DFT (PBE) results for a geometry-optimized LaDyPa structure.

Its space group is F-43m (216). The formation energy is 1.051 eV/atom. Its relative energy among the computed polymorphs is 0 meV per atom.

Geometry as POSCAR:
```
LaDyPa
1.0
0.0000 3.7288 3.7288
3.7288 0.0000 3.7288
3.7288 3.7288 0.0000
Pa La Dy
1 1 1
Direct
0.7500 0.7500 0.7500
0.2500 0.2500 0.2500
0.0000 0.0000 0.0000
```

Taking the records one at a time from the top gives total magnetic moment values of 0.025; 5.023; 0.056; 0.137; 0.063; 0.018; 0.032; 0.027; 0.011; 0.028; 0.410; 0.023; 0.012; 1.016; 1.420; 0.063; 0.114; 0.622; 0.006; 5.511; 0.012; 0.018; 0.003; 0.007; 0.016; 0.007; 0.919 μB per formula unit.
Taking the records one at a time from the top gives uncorrected energy values of -5.41; -9.69; -8.24; -6.29; -27.46; -9.42; -35.50; -19.60; -39.59; -19.60; -9.95; -45.45; -29.43; -16.89; -17.34; -42.07; -68.82; -68.98; -25.24; -19.13; -46.52; -112.58; -46.91; -70.46; -59.57; -39.88; -15.87 eV for the cell shown.